(1)
Density functional theory data (PBE-GGA) for crystalline Al8Si2Ru at its relaxed geometry. Values from VASP.

Geometry as Quantum ESPRESSO input:
```
&SYSTEM
  ibrav = 0, nat = 11, ntyp = 3
/
ATOMIC_SPECIES
Al 26.98 Al.upf
Si 28.09 Si.upf
Ru 101.07 Ru.upf
ATOMIC_POSITIONS crystal
Al 0.1008 0.3400 0.7608
Al 0.1680 0.1680 0.0000
Al 0.2478 0.0000 0.2478
Al 0.4208 0.6600 0.7608
Al 0.5792 0.3400 0.2392
Al 0.7522 0.0000 0.7522
Al 0.8320 0.8320 0.0000
Al 0.8992 0.6600 0.2392
Si 0.3547 0.8547 0.5000
Si 0.6453 0.1453 0.5000
Ru 0.0000 0.5000 0.5000
CELL_PARAMETERS angstrom
-1.9925 3.6812 5.9948
1.9925 -3.6812 5.9948
1.9925 3.6812 -5.9948
```

Energy relative to the elements, uncorrected: -87 meV/atom
Volume: 175.9 Å³/f.u.
SG: Immm
Fermi-level density of states: 3.146 states/eV/cell


(2)
Density functional theory data (PBE-GGA) for crystalline HgSeBr4 at its relaxed geometry. Values from VASP.

Geometry as Quantum ESPRESSO input:
```
&SYSTEM
  ibrav = 0, nat = 6, ntyp = 3
/
ATOMIC_SPECIES
Hg 200.59 Hg.upf
Se 78.96 Se.upf
Br 79.90 Br.upf
ATOMIC_POSITIONS crystal
Hg 0.0000 0.0000 0.0000
Se 0.7500 0.7500 0.7500
Br 0.3749 0.3749 0.3749
Br 0.3749 0.3749 0.8754
Br 0.3749 0.8754 0.3749
Br 0.8754 0.3749 0.3749
CELL_PARAMETERS angstrom
0.0000 4.4898 4.4898
4.4898 0.0000 4.4898
4.4898 4.4898 0.0000
```

Energy relative to the elements, uncorrected: 711 meV/atom
Excess energy over the best structure of this formula in the dataset: 5.28 eV/f.u.
Volume: 181.0 Å³/f.u.
SG: F-43m
Fermi-level density of states: 9.182 states/eV/cell


(3)
Density functional theory data (PBE-GGA) for crystalline YW2Au at its relaxed geometry. Values from VASP.

Geometry as Quantum ESPRESSO input:
```
&SYSTEM
  ibrav = 0, nat = 4, ntyp = 3
/
ATOMIC_SPECIES
Y 88.91 Y.upf
W 183.84 W.upf
Au 196.97 Au.upf
ATOMIC_POSITIONS crystal
Y 0.0000 0.0000 0.0000
W 0.0000 0.5000 0.5000
W 0.5000 0.0000 0.5000
Au 0.5000 0.5000 0.0000
CELL_PARAMETERS angstrom
3.4158 0.0000 0.0000
0.0000 4.4933 0.0000
0.0000 0.0000 4.9419
```

Excess energy over the best structure of this formula in the dataset: 0.84 eV/f.u.
Energy relative to the elements: 0.3483 eV/atom
Volume: 75.9 Å³/f.u.
SG: Pmmm
Fermi-level density of states: 4.165 states/eV/cell


(4)
Density functional theory data (PBE-GGA) for crystalline LuTiRh4 at its relaxed geometry. Values from VASP.

Geometry as Quantum ESPRESSO input:
```
&SYSTEM
  ibrav = 0, nat = 6, ntyp = 3
/
ATOMIC_SPECIES
Lu 174.97 Lu.upf
Ti 47.87 Ti.upf
Rh 102.91 Rh.upf
ATOMIC_POSITIONS crystal
Lu 0.0000 0.0000 0.0000
Ti 0.7500 0.7500 0.7500
Rh 0.3751 0.3751 0.3751
Rh 0.3751 0.3751 0.8748
Rh 0.3751 0.8748 0.3751
Rh 0.8748 0.3751 0.3751
CELL_PARAMETERS angstrom
0.0000 3.6725 3.6725
3.6725 0.0000 3.6725
3.6725 3.6725 0.0000
```

Energy relative to the elements: -0.5407 eV/atom
Volume: 99.1 Å³/f.u.
SG: F-43m
Fermi-level density of states: 4.354 states/eV/cell


(5)
Density functional theory data (PBE-GGA) for crystalline MgCdHg at its relaxed geometry. Values from VASP.

Geometry as Quantum ESPRESSO input:
```
&SYSTEM
  ibrav = 0, nat = 6, ntyp = 3
/
ATOMIC_SPECIES
Mg 24.30 Mg.upf
Cd 112.41 Cd.upf
Hg 200.59 Hg.upf
ATOMIC_POSITIONS crystal
Mg 0.2492 0.2508 0.0017
Mg 0.7508 0.7492 0.9983
Cd 0.1794 0.6802 0.6799
Cd 0.8206 0.3198 0.3201
Hg 0.3203 0.8189 0.2916
Hg 0.6797 0.1811 0.7084
CELL_PARAMETERS angstrom
4.3813 0.0000 0.0000
-0.0618 4.6588 0.0000
-0.8701 -0.8698 6.7449
```

Excess energy over the best structure of this formula in the dataset: 0.09 eV/f.u.
Energy relative to the elements: -0.0850 eV/atom
Volume: 68.8 Å³/f.u.
SG: P-1
Fermi-level density of states: 2.045 states/eV/cell


(6)
Density functional theory data (PBE-GGA) for crystalline MgPt3Rh at its relaxed geometry. Values from VASP.

Geometry as Quantum ESPRESSO input:
```
&SYSTEM
  ibrav = 0, nat = 10, ntyp = 3
/
ATOMIC_SPECIES
Mg 24.30 Mg.upf
Pt 195.08 Pt.upf
Rh 102.91 Rh.upf
ATOMIC_POSITIONS crystal
Mg 0.1490 0.8510 0.7500
Mg 0.8510 0.1490 0.2500
Pt 0.0538 0.9462 0.2500
Pt 0.2486 0.7514 0.2500
Pt 0.4499 0.5501 0.2500
Pt 0.5501 0.4499 0.7500
Pt 0.7514 0.2486 0.7500
Pt 0.9462 0.0538 0.7500
Rh 0.3488 0.6512 0.7500
Rh 0.6512 0.3488 0.2500
CELL_PARAMETERS angstrom
1.9520 -9.9822 0.0000
1.9520 9.9822 0.0000
0.0000 0.0000 3.9327
```

Excess energy over the best structure of this formula in the dataset: 0.00 eV/f.u.
Energy relative to the elements: -0.3955 eV/atom
Volume: 76.6 Å³/f.u.
SG: Cmcm
Fermi-level density of states: 8.695 states/eV/cell


(7)
Density functional theory data (PBE-GGA) for crystalline BaCoNi4 at its relaxed geometry. Values from VASP.

Geometry as Quantum ESPRESSO input:
```
&SYSTEM
  ibrav = 0, nat = 6, ntyp = 3
/
ATOMIC_SPECIES
Ba 137.33 Ba.upf
Co 58.93 Co.upf
Ni 58.69 Ni.upf
ATOMIC_POSITIONS crystal
Ba 0.0000 0.0000 0.0000
Co 0.7500 0.7500 0.7500
Ni 0.3770 0.3770 0.3770
Ni 0.3770 0.3770 0.8690
Ni 0.3770 0.8690 0.3770
Ni 0.8690 0.3770 0.3770
CELL_PARAMETERS angstrom
0.0000 3.5821 3.5821
3.5821 0.0000 3.5821
3.5821 3.5821 0.0000
```

Energy relative to the elements: 0.4560 eV/atom
Volume: 91.9 Å³/f.u.
SG: F-43m
Fermi-level density of states: 12.162 states/eV/cell


(8)
Density functional theory data (PBE-GGA) for crystalline Ni2OsW at its relaxed geometry. Values from VASP.

Geometry as Quantum ESPRESSO input:
```
&SYSTEM
  ibrav = 0, nat = 4, ntyp = 3
/
ATOMIC_SPECIES
Ni 58.69 Ni.upf
Os 190.23 Os.upf
W 183.84 W.upf
ATOMIC_POSITIONS crystal
Ni 0.0000 0.0000 0.2458
Ni 0.0000 0.0000 0.7542
Os 0.5000 0.5000 0.0000
W 0.5000 0.5000 0.5000
CELL_PARAMETERS angstrom
2.6381 0.0000 0.0000
0.0000 3.8049 0.0000
0.0000 0.0000 5.2101
```

Excess energy over the best structure of this formula in the dataset: 0.53 eV/f.u.
Energy relative to the elements: 0.0998 eV/atom
Volume: 52.3 Å³/f.u.
SG: Pmmm
Fermi-level density of states: 5.204 states/eV/cell


(9)
Density functional theory data (PBE-GGA) for crystalline CePaZnGe at its relaxed geometry. Values from VASP.

Geometry as Quantum ESPRESSO input:
```
&SYSTEM
  ibrav = 0, nat = 16, ntyp = 4
/
ATOMIC_SPECIES
Ce 140.12 Ce.upf
Pa 231.04 Pa.upf
Zn 65.41 Zn.upf
Ge 72.64 Ge.upf
ATOMIC_POSITIONS crystal
Ce 0.0000 0.0000 0.0000
Ce 0.0000 0.5000 0.5000
Ce 0.5000 0.0000 0.5000
Ce 0.5000 0.5000 0.0000
Pa 0.0000 0.0000 0.5000
Pa 0.0000 0.5000 0.0000
Pa 0.5000 0.0000 0.0000
Pa 0.5000 0.5000 0.5000
Zn 0.2500 0.2500 0.7500
Zn 0.2500 0.7500 0.2500
Zn 0.7500 0.2500 0.2500
Zn 0.7500 0.7500 0.7500
Ge 0.2500 0.2500 0.2500
Ge 0.2500 0.7500 0.7500
Ge 0.7500 0.2500 0.7500
Ge 0.7500 0.7500 0.2500
CELL_PARAMETERS angstrom
7.1444 0.0000 0.0000
0.0000 7.1444 0.0000
0.0000 0.0000 7.1444
```

Energy relative to the elements: -0.1960 eV/atom
Volume: 91.2 Å³/f.u.
SG: F-43m
Fermi-level density of states: 39.141 states/eV/cell


(10)
Density functional theory data (PBE-GGA) for crystalline CePN2 at its relaxed geometry. Values from VASP.

Geometry as Quantum ESPRESSO input:
```
&SYSTEM
  ibrav = 0, nat = 12, ntyp = 3
/
ATOMIC_SPECIES
Ce 140.12 Ce.upf
P 30.97 P.upf
N 14.01 N.upf
ATOMIC_POSITIONS crystal
Ce 0.0000 0.0000 0.0000
Ce 0.3333 0.6667 0.6667
Ce 0.6667 0.3333 0.3333
P 0.0000 0.0000 0.5000
P 0.3333 0.6667 0.1667
P 0.6667 0.3333 0.8333
N 0.0000 0.0000 0.1210
N 0.0000 0.0000 0.8790
N 0.3333 0.6667 0.5457
N 0.3333 0.6667 0.7876
N 0.6667 0.3333 0.2124
N 0.6667 0.3333 0.4543
CELL_PARAMETERS angstrom
2.8058 0.0000 0.0000
-1.4029 2.4299 0.0000
0.0000 0.0000 20.6157
```

Energy relative to the elements, uncorrected: 40 meV/atom
Excess energy over the best structure of this formula in the dataset: 3.57 eV/f.u.
Volume: 46.9 Å³/f.u.
SG: R-3m
Fermi-level density of states: 7.587 states/eV/cell


(11)
Density functional theory data (PBE-GGA) for crystalline ReSi2Ir at its relaxed geometry. Values from VASP.

Geometry as Quantum ESPRESSO input:
```
&SYSTEM
  ibrav = 0, nat = 8, ntyp = 3
/
ATOMIC_SPECIES
Re 186.21 Re.upf
Si 28.09 Si.upf
Ir 192.22 Ir.upf
ATOMIC_POSITIONS crystal
Re 0.0000 0.0000 0.0000
Re 0.5000 0.5000 0.0000
Si 0.0000 0.5000 0.2495
Si 0.0000 0.5000 0.7505
Si 0.5000 0.0000 0.2495
Si 0.5000 0.0000 0.7505
Ir 0.0000 0.0000 0.5000
Ir 0.5000 0.5000 0.5000
CELL_PARAMETERS angstrom
2.9450 0.0000 0.0000
0.0000 4.9249 0.0000
0.0000 0.0000 7.8725
```

Energy relative to the elements, uncorrected: 15 meV/atom
Excess energy over the best structure of this formula in the dataset: 1.59 eV/f.u.
Volume: 57.1 Å³/f.u.
SG: Cmmm
Fermi-level density of states: 3.639 states/eV/cell


(12)
Density functional theory data (PBE-GGA) for crystalline SbTe3Pb6Br2 at its relaxed geometry. Values from VASP.

Geometry as Quantum ESPRESSO input:
```
&SYSTEM
  ibrav = 0, nat = 12, ntyp = 4
/
ATOMIC_SPECIES
Sb 121.76 Sb.upf
Te 127.60 Te.upf
Pb 207.20 Pb.upf
Br 79.90 Br.upf
ATOMIC_POSITIONS crystal
Sb 0.0000 0.0000 0.0000
Te 0.1648 0.8352 0.5000
Te 0.5000 0.5000 0.5000
Te 0.8352 0.1648 0.5000
Pb 0.0841 0.3962 0.2502
Pb 0.2312 0.2312 0.7470
Pb 0.3962 0.0841 0.2502
Pb 0.6038 0.9159 0.7498
Pb 0.7688 0.7688 0.2530
Pb 0.9159 0.6038 0.7498
Br 0.3313 0.6687 0.0000
Br 0.6687 0.3313 0.0000
CELL_PARAMETERS angstrom
3.9345 -6.8420 0.0000
3.9345 6.8420 0.0000
-2.6504 0.0000 7.8161
```

Energy relative to the elements, uncorrected: -376 meV/atom
Volume: 420.8 Å³/f.u.
SG: C2/m
Fermi-level density of states: 3.710 states/eV/cell